# ErCd4Hg3, optimized geometry, DFT PBE-GGA
# Formation energy from the elements (eV per atom): -0.16
data_ErCd4Hg3
_cell_length_a 19.130
_cell_length_b 4.303
_cell_length_c 4.671
_cell_angle_alpha 90.00
_cell_angle_beta 104.06
_cell_angle_gamma 90.00
_space_group_name_H-M_alt 'C 1 2/m 1'
_space_group_IT_number 12
_space_group_name_Hall '-C 2y'
loop_
_atom_site_label
_atom_site_fract_x
_atom_site_fract_y
_atom_site_fract_z
Er1 0.000 0.000 0.000
Cd1 0.128 0.000 0.629
Cd2 0.246 0.000 0.247
Hg1 0.000 0.500 0.500
Hg2 0.125 0.500 0.125

=====

# LaNd3Cl, optimized geometry, DFT PBE-GGA
# Formation energy (no corrections) (eV/atom): -0.51
data_LaNd3Cl
_cell_length_a 5.525
_cell_length_b 5.525
_cell_length_c 5.525
_cell_angle_alpha 90.00
_cell_angle_beta 90.00
_cell_angle_gamma 90.00
_space_group_name_H-M_alt 'P m -3 m'
_space_group_IT_number 221
_space_group_name_Hall '-P 4 2 3'
loop_
_atom_site_label
_atom_site_fract_x
_atom_site_fract_y
_atom_site_fract_z
La1 0.000 0.000 0.000
Nd1 0.000 0.500 0.500
Cl1 0.500 0.500 0.500

=====

# Sn2BiRu2, optimized geometry, DFT PBE-GGA
# Energy above the most stable polymorph in this dataset (meV per atom): 176
# Formation energy from the elements (eV per atom): 0.23
data_Sn2BiRu2
_cell_length_a 4.127
_cell_length_b 4.127
_cell_length_c 12.434
_cell_angle_alpha 90.00
_cell_angle_beta 90.00
_cell_angle_gamma 90.00
_space_group_name_H-M_alt 'I 4/m m m'
_space_group_IT_number 139
_space_group_name_Hall '-I 4 2'
loop_
_atom_site_label
_atom_site_fract_x
_atom_site_fract_y
_atom_site_fract_z
Sn1 0.000 0.500 0.250
Bi1 0.000 0.000 0.000
Ru1 0.000 0.000 0.391

=====

Number 1: M_tot 0.00 Bohr magnetons per cell, volume 23.31 A^3/atom. Number 2: M_tot 0.00 Bohr magnetons per cell, volume 33.73 A^3/atom. Number 3: M_tot 0.00 Bohr magnetons per cell, volume 21.18 A^3/atom.